No. 1
A plane-wave DFT calculation with PBE was carried out for a relaxed structure of Pm2DyIn.

Output
Offset from the most stable computed form (eV per formula unit): 0.59
Energy of formation (eV/f.u.): -0.49
Raw total energy (eV for the cell shown): -51.99
Crystal system: trigonal

a = 3.6705 Å, b = 3.6705 Å, c = 32.9199 Å
α = 90.00°, β = 90.00°, γ = 120.00°
Closest atoms and distances in Å follow each position.
Space group R3m (No. 160, hexagonal axes)
Inequivalent atoms, fractional coordinates:
1 Pm 0.0000 0.0000 0.0000 [3 per cell]  3 In 3.33, 3 Dy 3.59, 6 Pm 3.67
2 Pm 0.0000 0.0000 0.1764 [3 per cell]  3 In 3.35, 3 Dy 3.60, 6 Pm 3.67
3 Dy 0.0000 0.0000 0.7548 [3 per cell]  6 Pm 3.59-3.60, 6 Dy 3.67
4 In 0.0000 0.0000 0.5885 [3 per cell]  6 Pm 3.33-3.35, 6 In 3.67

***

No. 2
A plane-wave DFT calculation with PBE was carried out for a relaxed structure of MgRe3.

Output
Offset from the most stable computed form (eV per formula unit): 15.04
Energy of formation (eV/f.u.): 15.75
Raw total energy (eV for the cell shown): -23.18
Crystal system: cubic

a = 4.5478 Å, b = 4.5478 Å, c = 4.5478 Å
α = 90.00°, β = 90.00°, γ = 90.00°
Closest atoms and distances in Å follow each position.
Space group Pm-3m (No. 221)
Inequivalent atoms, fractional coordinates:
1 Mg 0.0000 0.0000 0.0000 [1 per cell]  6 Re 2.27
2 Re 0.0000 0.0000 0.5000 [3 per cell]  2 Mg 2.27

***

No. 3
A plane-wave DFT calculation with PBE was carried out for a relaxed structure of Li2NpRe3N6.

Output
Formation energy from raw total energies (meV/atom): -399
Raw total energy (eV for the cell shown): -217.70
Crystal system: monoclinic

a = 5.1667 Å, b = 9.0512 Å, c = 5.5233 Å
α = 90.00°, β = 107.29°, γ = 90.00°
Closest atoms and distances in Å follow each position.
Space group C2/m (No. 12)
Inequivalent atoms, fractional coordinates:
1 Li 0.0000 0.1661 0.0000 [4 per cell]  6 N 2.13-2.30
2 Np 0.0000 0.5000 0.0000 [2 per cell]  6 N 2.21-2.22
3 Re 0.0000 0.0000 0.5000 [2 per cell]  6 N 2.09-2.18
4 Re 0.0000 0.3154 0.5000 [4 per cell]  6 N 2.06-2.20
5 N 0.2332 0.5000 0.7202 [4 per cell]  3 Re 2.09-2.20, 1 Np 2.22, 2 Li 2.30
6 N 0.2432 0.1681 0.7493 [8 per cell]  3 Re 2.06-2.18, 2 Li 2.13-2.20, 1 Np 2.21

***

No. 4
A plane-wave DFT calculation with PBE was carried out for a relaxed structure of Cd2InSi.

Output
Offset from the most stable computed form (eV per formula unit): 0.09
Formation energy from raw total energies (meV/atom): 272
Raw total energy (eV for the cell shown): -17.81
Crystal system: orthorhombic

a = 4.3066 Å, b = 4.7075 Å, c = 8.8612 Å
α = 90.00°, β = 90.00°, γ = 90.00°
Closest atoms and distances in Å follow each position.
Space group Cmmm (No. 65)
Inequivalent atoms, fractional coordinates:
1 Cd 0.0000 0.0000 0.2237 [4 per cell]  4 Si 2.93-3.08, 4 Cd 3.19, 2 In 3.26
2 In 0.0000 0.5000 0.5000 [2 per cell]  4 In 3.19, 8 Cd 3.26-3.40
3 Si 0.0000 0.5000 0.0000 [2 per cell]  8 Cd 2.93-3.08, 4 Si 3.19